This record from OQMD via LeMat-Bulk describes a geometry-optimized Tb2SmSi4Ag4 structure. The functional is PBE.

Summary:
**Space group**: Immm (71)
**E_tot**: -52.043 eV for the cell shown
**Total magnetization**: 0.00 μB per formula unit

Unit cell a=13.168 b=13.168 c=13.168 alpha=162.12 beta=161.51 gamma=25.83
Atoms (fractional coordinates):
Tb 0.352 0.852 0.500
Tb 0.648 0.148 0.500
Ag 0.906 0.406 0.500
Ag 0.749 0.749 0.000
Ag 0.251 0.251 0.000
Ag 0.094 0.594 0.500
Si 0.189 0.689 0.500
Si 0.546 0.546 0.000
Si 0.811 0.311 0.500
Si 0.454 0.454 0.000
Sm 0.000 0.000 0.000